(P)
{
  "formula": "NdEr4Tm",
  "functional": "PBE",
  "state": "relaxed",
  "cell": [[-3.292, -1.977, 5.232], [6.149, -5.507, -1.704], [3.194, 7.557, 2.586]],
  "species": ["Tm", "Tm", "Er", "Er", "Er", "Er", "Er", "Er", "Er", "Er", "Nd", "Nd"],
  "fractional_positions": [[0.664, 0.414, 0.828], [0.336, 0.586, 0.172], [0.243, 0.292, 0.409], [0.757, 0.708, 0.591], [0.074, 0.180, 0.757], [0.926, 0.820, 0.243], [0.666, 0.117, 0.409], [0.334, 0.883, 0.591], [0.817, 0.424, 0.243], [0.183, 0.576, 0.757], [0.735, 0.985, 0.970], [0.265, 0.015, 0.030]],
  "n_ef_per_ev_cell": 19.07,
  "magnetic_moment_mub_per_atom": 0.000
}

=====

(Q)
{
  "formula": "NdEr4Tm",
  "functional": "PBE",
  "state": "relaxed",
  "cell": [[-5.979, -0.680, -2.562], [-0.694, -1.712, -6.274], [-2.242, -5.948, -1.537]],
  "species": ["Nd", "Er", "Er", "Er", "Er", "Tm"],
  "fractional_positions": [[0.250, 0.250, 0.250], [0.625, 0.124, 0.625], [0.625, 0.625, 0.124], [0.124, 0.625, 0.625], [0.625, 0.625, 0.625], [0.000, 0.000, 0.000]],
  "n_ef_per_ev_cell": 10.88,
  "magnetic_moment_mub_per_atom": 0.175
}

=====

(R)
{
  "formula": "NdEr4Tm",
  "functional": "PBE",
  "state": "relaxed",
  "cell": [[-0.626, 2.594, -2.148], [-5.682, -0.855, 0.629], [-0.101, 6.247, 7.572]],
  "species": ["Tm", "Er", "Er", "Er", "Er", "Nd"],
  "fractional_positions": [[0.497, 0.501, 0.002], [0.997, 0.501, 0.310], [0.997, 0.501, 0.694], [0.497, 0.001, 0.187], [0.497, 0.001, 0.817], [0.997, 0.001, 0.502]],
  "n_ef_per_ev_cell": 12.61,
  "magnetic_moment_mub_per_atom": 0.000
}

=====

Going by the energies, (P) is most stable and the next is 36 meV per atom up.

=====

(P)
{
  "formula": "NdEr3Tm4",
  "functional": "PBE",
  "state": "relaxed",
  "cell": [[6.215, 0.000, 0.000], [0.000, 7.200, 0.000], [0.000, 0.000, 11.150]],
  "species": ["Er", "Er", "Er", "Er", "Er", "Er", "Tm", "Tm", "Tm", "Tm", "Tm", "Tm", "Tm", "Tm", "Nd", "Nd"],
  "fractional_positions": [[0.481, 0.373, 0.750], [0.647, 0.627, 0.000], [0.481, 0.373, 0.250], [0.147, 0.373, 0.500], [0.981, 0.627, 0.750], [0.981, 0.627, 0.250], [0.648, 0.123, 0.500], [0.981, 0.123, 0.252], [0.481, 0.877, 0.752], [0.981, 0.123, 0.748], [0.481, 0.877, 0.248], [0.648, 0.123, 0.000], [0.148, 0.877, 0.000], [0.148, 0.877, 0.500], [0.647, 0.626, 0.500], [0.147, 0.374, 0.000]],
  "n_ef_per_ev_cell": 25.50,
  "magnetic_moment_mub_per_atom": 0.000
}

=====

(Q)
{
  "formula": "NdEr3Tm4",
  "functional": "PBE",
  "state": "relaxed",
  "cell": [[-3.657, 3.635, -2.116], [-2.397, -2.566, -0.266], [-2.406, 0.893, 13.033]],
  "species": ["Er", "Er", "Er", "Nd", "Tm", "Tm", "Tm", "Tm"],
  "fractional_positions": [[0.842, 0.000, 0.685], [0.158, 0.000, 0.315], [0.000, 0.500, 0.000], [0.500, 0.000, 0.000], [0.395, 0.500, 0.790], [0.276, 0.499, 0.552], [0.605, 0.500, 0.210], [0.724, 0.501, 0.448]],
  "n_ef_per_ev_cell": 13.52,
  "magnetic_moment_mub_per_atom": 0.000
}

=====

Going by the energies, (P) is most stable and the next is 232 meV per atom up.

=====

(P)
{
  "formula": "Nd7ErTm3",
  "functional": "PBE",
  "state": "relaxed",
  "cell": [[9.760, -2.422, -2.052], [-5.669, 8.306, 2.058], [-2.537, 1.754, 12.222]],
  "species": ["Tm", "Tm", "Tm", "Tm", "Tm", "Tm", "Nd", "Nd", "Nd", "Nd", "Nd", "Nd", "Nd", "Nd", "Nd", "Nd", "Nd", "Nd", "Nd", "Nd", "Er", "Er"],
  "fractional_positions": [[0.668, 0.325, 0.774], [0.325, 0.669, 0.726], [0.000, 0.000, 0.000], [0.000, 0.000, 0.500], [0.332, 0.675, 0.226], [0.675, 0.331, 0.274], [0.837, 0.152, 0.727], [0.913, 0.580, 0.025], [0.152, 0.837, 0.773], [0.420, 0.088, 0.525], [0.293, 0.293, 0.750], [0.707, 0.707, 0.250], [0.087, 0.420, 0.975], [0.420, 0.084, 0.028], [0.163, 0.848, 0.273], [0.848, 0.163, 0.227], [0.580, 0.916, 0.972], [0.916, 0.580, 0.528], [0.084, 0.420, 0.472], [0.580, 0.912, 0.475], [0.500, 0.500, 0.500], [0.500, 0.500, 0.000]],
  "n_ef_per_ev_cell": 32.61,
  "magnetic_moment_mub_per_atom": 0.000
}

=====

(Q)
{
  "formula": "Nd7ErTm3",
  "functional": "PBE",
  "state": "relaxed",
  "cell": [[-1.793, 3.502, -4.382], [-4.822, -7.058, 0.296], [-4.143, 1.955, 7.222]],
  "species": ["Er", "Nd", "Nd", "Nd", "Nd", "Nd", "Nd", "Nd", "Tm", "Tm", "Tm"],
  "fractional_positions": [[0.500, 0.500, 0.500], [0.691, 0.979, 0.403], [0.791, 0.792, 0.792], [0.209, 0.208, 0.208], [0.000, 0.500, 0.500], [0.309, 0.597, 0.021], [0.691, 0.403, 0.979], [0.309, 0.021, 0.597], [0.000, 0.205, 0.795], [0.500, 0.000, 0.000], [0.000, 0.795, 0.205]],
  "n_ef_per_ev_cell": 13.93,
  "magnetic_moment_mub_per_atom": 0.000
}

=====

Going by the energies, (P) is most stable and the next is 44 meV per atom up.

=====

(P)
{
  "formula": "NdEr8Tm2",
  "functional": "PBE",
  "state": "relaxed",
  "cell": [[5.518, 2.011, 0.000], [3.094, 8.664, 0.000], [1.547, 4.332, 8.487]],
  "species": ["Er", "Er", "Er", "Er", "Er", "Er", "Er", "Er", "Tm", "Tm", "Nd"],
  "fractional_positions": [[0.758, 0.501, 0.000], [0.242, 0.499, 0.000], [0.230, 0.902, 0.736], [0.500, 0.201, 0.597], [0.500, 0.799, 0.403], [0.230, 0.638, 0.264], [0.770, 0.098, 0.264], [0.770, 0.362, 0.736], [0.000, 0.688, 0.624], [0.000, 0.312, 0.376], [0.500, 0.000, 0.000]],
  "n_ef_per_ev_cell": 15.12,
  "magnetic_moment_mub_per_atom": 0.000
}

=====

(Q)
{
  "formula": "NdEr8Tm2",
  "functional": "PBE",
  "state": "relaxed",
  "cell": [[5.151, 0.000, -1.564], [-0.970, 7.573, -3.193], [-0.074, -0.380, 9.020]],
  "species": ["Er", "Er", "Er", "Er", "Er", "Er", "Er", "Er", "Nd", "Tm", "Tm"],
  "fractional_positions": [[0.333, 0.106, 0.665], [0.981, 0.278, 0.962], [0.619, 0.444, 0.238], [0.667, 0.894, 0.335], [0.381, 0.556, 0.762], [0.840, 0.801, 0.680], [0.160, 0.199, 0.320], [0.019, 0.722, 0.038], [0.500, 0.000, 0.000], [0.202, 0.658, 0.405], [0.798, 0.342, 0.595]],
  "n_ef_per_ev_cell": 18.24,
  "magnetic_moment_mub_per_atom": 0.000
}

=====

Going by the energies, (Q) is most stable and the next is 55 meV per atom up.

=====

(P)
{
  "formula": "NdErTm2",
  "functional": "PBE",
  "state": "relaxed",
  "cell": [[-2.418, 2.114, 1.678], [0.146, -1.837, 6.430], [3.410, 3.211, 4.776]],
  "species": ["Tm", "Tm", "Nd", "Er"],
  "fractional_positions": [[0.002, 0.080, 0.916], [0.498, 0.584, 0.420], [0.250, 0.170, 0.330], [0.750, 0.666, 0.834]],
  "n_ef_per_ev_cell": 6.62,
  "magnetic_moment_mub_per_atom": 0.000
}

=====

(Q)
{
  "formula": "NdErTm2",
  "functional": "PBE",
  "state": "relaxed",
  "cell": [[4.082, 0.000, 0.000], [0.000, 4.082, 0.000], [0.000, 0.000, 7.654]],
  "species": ["Er", "Nd", "Tm", "Tm"],
  "fractional_positions": [[0.500, 0.500, 0.000], [0.500, 0.500, 0.500], [0.000, 0.000, 0.240], [0.000, 0.000, 0.760]],
  "n_ef_per_ev_cell": 7.48,
  "magnetic_moment_mub_per_atom": 0.000
}

=====

(R)
{
  "formula": "NdErTm2",
  "functional": "PBE",
  "state": "relaxed",
  "cell": [[5.644, 0.000, 0.000], [2.822, 4.888, 0.000], [2.822, 1.629, 4.608]],
  "species": ["Er", "Tm", "Tm", "Nd"],
  "fractional_positions": [[0.500, 0.500, 0.500], [0.250, 0.250, 0.250], [0.750, 0.750, 0.750], [0.000, 0.000, 0.000]],
  "n_ef_per_ev_cell": 6.20,
  "magnetic_moment_mub_per_atom": 0.000
}

=====

(S)
{
  "formula": "NdErTm2",
  "functional": "PBE",
  "state": "relaxed",
  "cell": [[4.997, 0.000, 0.000], [0.000, 5.011, 0.000], [0.000, 0.000, 5.011]],
  "species": ["Tm", "Tm", "Nd", "Er"],
  "fractional_positions": [[0.000, 0.500, 0.000], [0.000, 0.000, 0.500], [0.500, 0.000, 0.000], [0.500, 0.500, 0.500]],
  "n_ef_per_ev_cell": 5.82,
  "magnetic_moment_mub_per_atom": 0.000
}

=====

Going by the energies, (P) is most stable and the next is 12 meV per atom up.

=====

(P)
{
  "formula": "Nd3Er2Tm6",
  "functional": "PBE",
  "state": "relaxed",
  "cell": [[4.719, 0.000, 0.000], [0.000, 4.719, 0.000], [-2.360, -2.360, 16.522]],
  "species": ["Nd", "Nd", "Nd", "Tm", "Tm", "Tm", "Tm", "Tm", "Tm", "Er", "Er"],
  "fractional_positions": [[0.795, 0.795, 0.591], [0.205, 0.205, 0.409], [0.000, 0.000, 0.000], [0.379, 0.879, 0.759], [0.692, 0.692, 0.383], [0.121, 0.621, 0.241], [0.308, 0.308, 0.617], [0.879, 0.379, 0.759], [0.621, 0.121, 0.241], [0.546, 0.546, 0.093], [0.454, 0.454, 0.907]],
  "n_ef_per_ev_cell": 17.47,
  "magnetic_moment_mub_per_atom": 0.000
}

=====

(Q)
{
  "formula": "Nd3Er2Tm6",
  "functional": "PBE",
  "state": "relaxed",
  "cell": [[3.543, 0.000, 0.217], [1.765, 3.073, 0.217], [-0.164, -0.095, 31.660]],
  "species": ["Nd", "Nd", "Nd", "Tm", "Tm", "Tm", "Tm", "Tm", "Tm", "Er", "Er"],
  "fractional_positions": [[0.728, 0.728, 0.816], [0.000, 0.000, 0.000], [0.272, 0.272, 0.184], [0.092, 0.092, 0.724], [0.818, 0.818, 0.545], [0.908, 0.908, 0.276], [0.636, 0.636, 0.092], [0.364, 0.364, 0.908], [0.182, 0.182, 0.455], [0.545, 0.545, 0.366], [0.455, 0.455, 0.634]],
  "n_ef_per_ev_cell": 13.91,
  "magnetic_moment_mub_per_atom": 0.000
}

=====

Going by the energies, (Q) is most stable and the next is 254 meV per atom up.